1.
First-principles (PBEsol) data for a relaxed K2FePt crystal, as listed in Alexandria.

Energy relative to the elements in meV/atom: 1132
Relative energy among the computed polymorphs in kJ/mol of formula units: 134

a = 5.275 Å, b = 5.275 Å, c = 5.275 Å
α = 60.00°, β = 60.00°, γ = 60.00°
Element x y z (fractional)
Fe1 0.000 0.000 0.000
K1 0.250 0.250 0.250
K2 0.750 0.750 0.750
Pt1 0.500 0.500 0.500

2.
First-principles (PBEsol) data for a relaxed MgBeFe2 crystal, as listed in Alexandria.

Energy relative to the elements in meV/atom: 116
Relative energy among the computed polymorphs in kJ/mol of formula units: 0

a = 2.700 Å, b = 2.700 Å, c = 6.126 Å
α = 90.00°, β = 90.00°, γ = 90.00°
Element x y z (fractional)
Be1 0.500 0.500 0.804
Mg1 0.000 0.000 0.502
Fe1 0.000 0.000 0.987
Fe2 0.500 0.500 0.206

3.
First-principles (PBEsol) data for a relaxed In2CuSe3Br crystal, as listed in Alexandria.

a = 5.673 Å, b = 5.721 Å, c = 6.977 Å
α = 113.62°, β = 112.87°, γ = 90.26°
Element x y z (fractional)
Cu1 0.541 0.462 0.023
Se1 0.822 0.874 0.257
Se2 0.408 0.348 0.259
Se3 0.627 0.162 0.722
Br1 0.131 0.619 0.756
In1 0.256 0.758 0.470
In2 0.965 0.028 0.012

4.
First-principles (PBEsol) data for a relaxed LiWS2 crystal, as listed in Alexandria.

a = 3.185 Å, b = 3.185 Å, c = 8.012 Å
α = 78.54°, β = 78.54°, γ = 60.00°
Element x y z (fractional)
S1 0.901 0.901 0.296
S2 0.099 0.099 0.704
W1 0.500 0.500 0.500
Li1 0.000 0.000 0.000

5.
First-principles (PBEsol) data for a relaxed Mg3ZnO4 crystal, as listed in Alexandria.

Relative energy among the computed polymorphs in kJ/mol of formula units: 0

a = 2.995 Å, b = 2.995 Å, c = 8.461 Å
α = 90.00°, β = 90.00°, γ = 90.00°
Element x y z (fractional)
Zn1 0.000 0.000 0.000
Mg1 0.500 0.500 0.751
Mg2 0.000 0.000 0.500
Mg3 0.500 0.500 0.249
O1 0.000 0.000 0.252
O2 0.500 0.500 0.000
O3 0.000 0.000 0.748
O4 0.500 0.500 0.500

6.
First-principles (PBEsol) data for a relaxed NdAlSi crystal, as listed in Alexandria.

a = 4.174 Å, b = 4.174 Å, c = 7.839 Å
α = 105.44°, β = 105.44°, γ = 90.00°
Element x y z (fractional)
Si1 0.083 0.583 0.166
Si2 0.833 0.833 0.666
Nd1 0.501 0.001 0.003
Nd2 0.251 0.251 0.503
Al1 0.917 0.417 0.835
Al2 0.667 0.667 0.335

Number 1: VASP energy -13.665 eV/cell. Number 2: VASP energy -23.179 eV/cell. Number 3: VASP energy -26.847 eV/cell. Number 4: VASP energy -26.891 eV/cell. Number 5: VASP energy -46.890 eV/cell. Number 6: VASP energy -34.200 eV/cell.